CsUCu2Te4: optimized geometry, GGA-PBE.

Values from the calculation:
M_tot, μB per cell: 0.95
DOS(E_F), states/eV per cell: 7.615
Formation energy (no corrections), eV per atom: -0.2604
Uncorrected energy, eV per atom: -4.373

Unit cell a=6.459 b=7.825 c=7.825 alpha=78.00 beta=65.63 gamma=65.63
Last column: magnetic moment on the atom in μB.
Fractional positions:
Cs: 0.000 0.000 0.000  0.00
U: 0.500 0.500 0.500  1.63
Cu: 0.119 0.381 0.381  -0.06
Cu: 0.881 0.619 0.619  -0.06
Te: 0.437 0.153 0.503  -0.09
Te: 0.093 0.847 0.497  -0.09
Te: 0.907 0.503 0.153  -0.09
Te: 0.563 0.497 0.847  -0.09

CsVCuTe2: optimized geometry, GGA-PBE.

Values from the calculation:
M_tot, μB per cell: 6.01
DOS(E_F), states/eV per cell: 3.956
Formation energy (no corrections), eV per atom: -0.3460
Uncorrected energy, eV per atom: -4.416

Unit cell a=6.519 b=6.331 c=8.574 alpha=111.67 beta=90.00 gamma=90.00
Last column: magnetic moment on the atom in μB.
Fractional positions:
Cs: 0.236 0.750 0.500  0.00
Cs: 0.764 0.250 0.500  0.00
V: 0.500 0.750 0.000  2.52
V: 0.500 0.250 0.000  2.52
Cu: 0.000 0.000 0.000  0.01
Cu: 0.000 0.500 0.000  0.01
Te: 0.723 0.894 0.788  -0.06
Te: 0.723 0.606 0.212  -0.06
Te: 0.277 0.394 0.788  -0.06
Te: 0.277 0.106 0.212  -0.06

CsYCuTe3: optimized geometry, GGA-PBE.

Values from the calculation:
M_tot, μB per cell: 0.00
DOS(E_F), states/eV per cell: 5.475
Formation energy (no corrections), eV per atom: -0.9413
Uncorrected energy, eV per atom: -4.414

Unit cell a=4.292 b=10.618 c=10.857 alpha=116.31 beta=90.00 gamma=90.00
Fractional positions:
Cs: 0.250 0.221 0.244
Cs: 0.750 0.779 0.756
Y: 0.250 0.678 0.146
Y: 0.750 0.322 0.854
Cu: 0.250 0.085 0.596
Cu: 0.750 0.915 0.404
Te: 0.750 0.885 0.151
Te: 0.250 0.115 0.849
Te: 0.250 0.808 0.466
Te: 0.750 0.192 0.534
Te: 0.750 0.480 0.169
Te: 0.250 0.520 0.831

CsZnCuTe2: optimized geometry, GGA-PBE.

Values from the calculation:
M_tot, μB per cell: 0.00
Formation energy (no corrections), eV per atom: -0.5245
Uncorrected energy, eV per atom: -3.026

Unit cell a=6.867 b=6.756 c=8.203 alpha=114.32 beta=90.00 gamma=90.00
Fractional positions:
Cs: 0.239 0.750 0.500
Cs: 0.761 0.250 0.500
Zn: 0.500 0.750 0.000
Zn: 0.500 0.250 0.000
Cu: 0.000 0.000 0.000
Cu: 0.000 0.500 0.000
Te: 0.718 0.899 0.797
Te: 0.718 0.601 0.203
Te: 0.282 0.399 0.797
Te: 0.282 0.101 0.203

Cs2ZrCuTe4: optimized geometry, GGA-PBE.

Values from the calculation:
M_tot, μB per cell: 0.00
DOS(E_F), states/eV per cell: 17.999
Formation energy (no corrections), eV per atom: -0.7733
Uncorrected energy, eV per atom: -4.138

Unit cell a=6.344 b=8.492 c=14.314 alpha=85.25 beta=77.20 gamma=68.07
Fractional positions:
Cs: 0.178 0.000 0.643
Cs: 0.822 0.000 0.357
Cs: 0.572 0.500 0.857
Cs: 0.928 0.500 0.143
Zr: 0.750 0.500 0.500
Zr: 0.000 0.000 0.000
Cu: 0.250 0.500 0.500
Cu: 0.500 0.000 0.000
Te: 0.309 0.802 0.109
Te: 0.220 0.198 0.891
Te: 0.888 0.802 0.891
Te: 0.582 0.198 0.109
Te: 0.441 0.698 0.391
Te: 0.530 0.302 0.609
Te: 0.862 0.698 0.609
Te: 0.168 0.302 0.391

Cs2ZrCu2Te4: optimized geometry, GGA-PBE.

Values from the calculation:
M_tot, μB per cell: 0.00
DOS(E_F), states/eV per cell: 1.567
Formation energy (no corrections), eV per atom: -0.7239
Uncorrected energy, eV per atom: -4.170

Unit cell a=4.272 b=8.979 c=8.202 alpha=106.97 beta=105.10 gamma=90.00
Fractional positions:
Cs: 0.136 0.562 0.271
Cs: 0.864 0.438 0.729
Zr: 0.000 0.000 0.000
Cu: 0.685 0.987 0.370
Cu: 0.315 0.013 0.630
Te: 0.192 0.165 0.384
Te: 0.808 0.835 0.616
Te: 0.522 0.786 0.043
Te: 0.478 0.214 0.957

Cs2ZrCu2Te6: optimized geometry, GGA-PBE.

Values from the calculation:
M_tot, μB per cell: 0.00
DOS(E_F), states/eV per cell: 2.634
Formation energy (no corrections), eV per atom: -0.4834
Uncorrected energy, eV per atom: -3.874

Unit cell a=6.565 b=7.568 c=10.246 alpha=106.90 beta=90.00 gamma=115.70
Fractional positions:
Cs: 0.669 0.338 0.135
Cs: 0.331 0.662 0.865
Zr: 0.500 0.000 0.500
Cu: 0.909 0.818 0.662
Cu: 0.091 0.182 0.338
Te: 0.726 0.452 0.511
Te: 0.195 0.888 0.252
Te: 0.307 0.112 0.748
Te: 0.805 0.112 0.748
Te: 0.693 0.888 0.252
Te: 0.274 0.548 0.489

Cs3TiCu: optimized geometry, GGA-PBE.

Values from the calculation:
M_tot, μB per cell: 4.00
DOS(E_F), states/eV per cell: 5.038
Formation energy from the elements, meV per atom: 937
Uncorrected energy, eV per atom: -1.974

Unit cell a=6.893 b=6.893 c=6.893 alpha=90.00 beta=90.00 gamma=90.00
Last column: magnetic moment on the atom in μB.
Fractional positions:
Cs: 0.000 0.500 0.000  0.03
Cs: 0.000 0.000 0.500  0.03
Cs: 0.500 0.000 0.000  0.02
Cu: 0.000 0.000 0.000  0.01
Ti: 0.500 0.500 0.500  2.14